1.
DFT (PBE-GGA) results for a relaxed MgSi2 crystal.

Calculated values
Its energy relative to the lowest polymorph listed for this composition is 0.0229 eV/atom. The formation energy without anion corrections is 0.047 eV per atom. For the spin magnetization, the calculation gives 0.0 μB/f.u. For the density, the calculation gives 2.3 Mg/m³.

Cell: 3.731 5.245 5.923 Å, 90.00 90.00 90.00°
Sites, in units of the cell vectors:
Si 0.000 0.868 0.296
Si 0.500 0.132 0.796
Si 0.000 0.868 0.704
Si 0.500 0.132 0.204
Mg 0.500 0.619 0.000
Mg 0.000 0.381 0.500

2.
DFT (PBE-GGA) results for a relaxed MgSi2 crystal.

Calculated values
Its energy relative to the lowest polymorph listed for this composition is 0.0719 eV/atom. The formation energy without anion corrections is 0.096 eV per atom. For the spin magnetization, the calculation gives 0.0 μB/f.u. For the density, the calculation gives 2.3 Mg/m³.

Cell: 3.711 5.440 11.644 Å, 84.67 86.27 84.44°
Sites, in units of the cell vectors:
Mg 0.682 0.491 0.946
Si 0.216 0.786 0.801
Si 0.276 0.864 0.597
Si 0.642 0.208 0.197
Mg 0.589 0.702 0.276
Si 0.681 0.023 0.867
Mg 0.166 0.968 0.057
Si 0.033 0.287 0.501
Mg 0.191 0.313 0.728
Si 0.819 0.732 0.496
Si 0.573 0.153 0.401
Si 0.131 0.473 0.133

3.
DFT (PBE-GGA) results for a relaxed Mg6Si5 crystal.

Calculated values
Its energy relative to the lowest polymorph listed for this composition is 0.0804 eV/atom. The formation energy without anion corrections is 0.077 eV per atom. For the spin magnetization, the calculation gives 0.0 μB/f.u. For the density, the calculation gives 2.2 Mg/m³.

Cell: 4.362 6.829 15.327 Å, 72.95 81.54 89.85°
Sites, in units of the cell vectors:
Si 0.190 0.389 0.780
Mg 0.254 0.168 0.653
Mg 0.092 0.207 0.973
Si 0.735 0.827 0.697
Mg 0.539 0.404 0.081
Mg 0.290 0.692 0.579
Mg 0.817 0.060 0.524
Mg 0.982 0.569 0.197
Si 0.993 0.181 0.175
Si 0.446 0.692 0.265
Mg 0.892 0.758 0.371
Mg 0.363 0.405 0.431
Si 0.456 0.048 0.247
Mg 0.093 0.732 0.970
Si 0.911 0.184 0.338
Mg 0.663 0.058 0.835
Si 0.808 0.446 0.540
Mg 0.539 0.901 0.076
Mg 0.642 0.524 0.875
Si 0.374 0.020 0.412
Si 0.735 0.464 0.694
Si 0.189 0.768 0.785

4.
DFT (PBE-GGA) results for a relaxed Mg5Si9 crystal.

Calculated values
Its energy relative to the lowest polymorph listed for this composition is 0.0145 eV/atom. The formation energy without anion corrections is 0.112 eV per atom. For the spin magnetization, the calculation gives 0.0 μB/f.u. For the density, the calculation gives 2.3 Mg/m³.

Cell: 6.776 7.444 12.057 Å, 84.30 82.41 63.39°
Sites, in units of the cell vectors:
Si 0.050 0.674 0.753
Mg 0.726 0.572 0.674
Si 0.942 0.937 0.972
Si 0.596 0.526 0.939
Mg 0.699 0.341 0.456
Mg 0.338 0.807 0.112
Si 0.403 0.475 0.282
Mg 0.898 0.891 0.557
Mg 0.919 0.586 0.038
Si 0.346 0.501 0.614
Si 0.495 0.352 0.097
Si 0.001 0.252 0.206
Si 0.765 0.215 0.842
Si 0.058 0.784 0.301
Mg 0.180 0.350 0.478
Si 0.585 0.181 0.690
Si 0.696 0.583 0.250
Si 0.996 0.165 0.663
Si 0.272 0.767 0.851
Mg 0.399 0.825 0.512
Si 0.809 0.673 0.410
Mg 0.599 0.914 0.892
Mg 0.135 0.306 0.838
Si 0.275 0.205 0.049
Mg 0.511 0.024 0.288
Si 0.377 0.978 0.706
Si 0.097 0.054 0.379
Si 0.834 0.062 0.152

5.
DFT (PBE-GGA) results for a relaxed MgSi2 crystal.

Calculated values
Its energy relative to the lowest polymorph listed for this composition is 0.0688 eV/atom. The formation energy without anion corrections is 0.093 eV per atom. For the spin magnetization, the calculation gives 0.0 μB/f.u. For the density, the calculation gives 2.4 Mg/m³.

Cell: 3.695 7.852 7.682 Å, 84.52 90.00 90.00°
Sites, in units of the cell vectors:
Mg 0.750 0.640 0.589
Si 0.250 0.767 0.293
Si 0.750 0.233 0.707
Si 0.750 0.086 0.439
Si 0.250 0.409 0.771
Si 0.750 0.591 0.229
Si 0.250 0.914 0.561
Si 0.250 0.022 0.095
Si 0.750 0.978 0.905
Mg 0.250 0.360 0.411
Mg 0.750 0.294 0.075
Mg 0.250 0.706 0.925

6.
DFT (PBE-GGA) results for a relaxed Mg5Si9 crystal.

Calculated values
Its energy relative to the lowest polymorph listed for this composition is 0.0234 eV/atom. The formation energy without anion corrections is 0.121 eV per atom. For the spin magnetization, the calculation gives 0.0 μB/f.u. For the density, the calculation gives 2.3 Mg/m³.

Cell: 6.441 7.499 12.376 Å, 88.23 98.48 114.94°
Sites, in units of the cell vectors:
Si 0.352 0.048 0.291
Mg 0.998 0.515 0.011
Mg 0.342 0.220 0.482
Mg 0.692 0.168 0.143
Si 0.736 0.790 0.190
Mg 0.027 0.236 0.849
Si 0.120 0.469 0.257
Mg 0.594 0.963 0.682
Si 0.983 0.857 0.363
Si 0.815 0.327 0.590
Mg 0.748 0.672 0.575
Si 0.443 0.527 0.739
Mg 0.479 0.151 0.867
Si 0.960 0.013 0.059
Si 0.137 0.245 0.646
Si 0.398 0.573 0.927
Mg 0.194 0.656 0.533
Si 0.268 0.276 0.170
Si 0.593 0.484 0.083
Si 0.245 0.915 0.014
Si 0.157 0.937 0.679
Si 0.702 0.882 0.891
Si 0.355 0.784 0.185
Mg 0.745 0.449 0.348
Si 0.991 0.785 0.838
Mg 0.711 0.015 0.426
Si 0.772 0.448 0.767
Si 0.444 0.594 0.396

> Which of these has the lowest density?

Mg6Si5

> Which of these has the highest formation energy without anion corrections?

number 6